(1)
Crystalline TeOsSeN2 at its relaxed geometry, computed with PBE-GGA.

a = 3.8499 Å, b = 3.8499 Å, c = 6.4112 Å
α = 90.00°, β = 90.00°, γ = 90.00°
Last column: nearest neighbours and their distance in Å.
Fractional positions:
Te  0.0000  0.0000  0.0000  4 N 1.92
Os  0.5000  0.5000  0.5000  4 Se 2.72
Se  0.0000  0.0000  0.5000  4 Os 2.72
N  0.0000  0.5000  0.0000  2 Te 1.92
N  0.5000  0.0000  0.0000  2 Te 1.92

## Properties
E, eV for the cell shown: -23.967
ΔE_f (raw), eV per atom: 2.108
Distance to the lowest polymorph of the same formula, meV/atom: 1458.2

(2)
Crystalline TeOsSeN2 at its relaxed geometry, computed with PBE-GGA.

a = 3.8479 Å, b = 3.8479 Å, c = 5.9498 Å
α = 90.00°, β = 90.00°, γ = 90.00°
Last column: nearest neighbours and their distance in Å.
Fractional positions:
Te  0.0000  0.0000  0.0000  4 Se 2.72, 2 Os 2.97
Os  0.0000  0.0000  0.5000  4 N 1.92
Se  0.5000  0.5000  0.0000  4 Te 2.72
N  0.0000  0.5000  0.5000  2 Os 1.92
N  0.5000  0.0000  0.5000  2 Os 1.92

## Properties
E, eV for the cell shown: -31.258
ΔE_f (raw), eV per atom: 0.650
Distance to the lowest polymorph of the same formula, meV/atom: 0.0

(3)
Crystalline Th6Os2Se3N at its relaxed geometry, computed with PBE-GGA.

a = 6.9660 Å, b = 6.9660 Å, c = 7.5983 Å
α = 98.80°, β = 98.80°, γ = 119.82°
Last column: nearest neighbours and their distance in Å.
Fractional positions:
Th  0.0706  0.3901  0.2107  1 N 2.70, 2 Os 2.82-2.83
Th  0.2485  0.2485  0.7837  1 N 2.73, 2 Os 2.83
Th  0.3901  0.0706  0.2107  1 N 2.70, 2 Os 2.82-2.83
Th  0.6099  0.9294  0.7893  1 N 2.70, 2 Os 2.82-2.83
Th  0.7515  0.7515  0.2163  1 N 2.73, 2 Os 2.83
Th  0.9294  0.6099  0.7893  1 N 2.70, 2 Os 2.82-2.83
Os  0.3341  0.6659  0.0000  6 Th 2.82-2.83
Os  0.6659  0.3341  0.0000  6 Th 2.82-2.83
Se  0.1719  0.8281  0.5000  6 Th 3.10-3.16
Se  0.5000  0.5000  0.5000  6 Th 3.09-3.17
Se  0.8281  0.1719  0.5000  6 Th 3.10-3.16
N  0.0000  0.0000  0.0000  6 Th 2.70-2.73

## Properties
E, eV for the cell shown: -99.270
ΔE_f (raw), eV per atom: -1.126

(4)
Crystalline Th8Os3Se4N at its relaxed geometry, computed with PBE-GGA.

a = 8.1241 Å, b = 8.1241 Å, c = 8.6484 Å
α = 118.02°, β = 118.02°, γ = 59.84°
Last column: nearest neighbours and their distance in Å.
Fractional positions:
Th  0.2314  0.7488  0.7112  1 N 2.73, 2 Os 2.83-2.84
Th  0.2343  0.2343  0.7136  1 N 2.77, 2 Os 2.83
Th  0.2512  0.7686  0.2888  1 N 2.73, 2 Os 2.83-2.84
Th  0.2612  0.2612  0.2840  3 Os 2.82-2.83, 3 Se 3.12-3.13
Th  0.7388  0.7388  0.7160  3 Os 2.82-2.83, 3 Se 3.12-3.13
Th  0.7488  0.2314  0.7112  1 N 2.73, 2 Os 2.83-2.84
Th  0.7657  0.7657  0.2864  1 N 2.77, 2 Os 2.83
Th  0.7686  0.2512  0.2888  1 N 2.73, 2 Os 2.83-2.84
Os  0.0000  0.5000  0.5000  6 Th 2.82-2.84
Os  0.5000  0.0000  0.5000  6 Th 2.82-2.84
Os  0.5000  0.5000  0.5000  6 Th 2.83
Se  0.0000  0.0000  0.0000  6 Th 3.12-3.13
Se  0.0000  0.5000  0.0000  6 Th 3.11-3.12
Se  0.5000  0.0000  0.0000  6 Th 3.11-3.12
Se  0.5000  0.5000  0.0000  6 Th 3.18-3.21
N  0.0000  0.0000  0.5000  6 Th 2.73-2.77

## Properties
E, eV for the cell shown: -132.451
ΔE_f (raw), eV per atom: -1.071